No. 1
! Li4SiAg7 PBE-GGA relaxed; values from VASP
&SYSTEM
  ibrav = 0, nat = 12, ntyp = 3
/
ATOMIC_SPECIES
Li 6.94 Li.upf
Si 28.09 Si.upf
Ag 107.87 Ag.upf
ATOMIC_POSITIONS angstrom
Li -7.158 2.953 1.178
Li -5.828 -2.742 3.433
Li -10.514 1.464 2.926
Li -2.472 -1.253 1.685
Si 0.000 0.000 0.000
Ag -8.413 -1.646 4.157
Ag -4.574 1.857 0.454
Ag -2.939 -3.740 3.044
Ag -10.048 3.951 1.567
Ag -7.787 0.671 2.567
Ag -1.574 1.808 0.847
Ag -5.199 -0.460 2.044
CELL_PARAMETERS angstrom
-3.149 3.617 1.695
-6.846 2.748 -1.540
-2.991 -6.154 4.456
! Spin magnetization = 0.00 μB per formula unit
! Relative energy among the computed polymorphs = 0.0 meV/atom
! Energy relative to the elements, uncorrected = -0.100 eV/atom
! Calculated density = 6.614 g cm⁻³
! Electronic total energy = -34.23 eV/cell
! Calculated volume = 204 Å³ per cell
! SG = No. 2


No. 2
! RbGePd3 PBE-GGA relaxed; values from VASP
&SYSTEM
  ibrav = 0, nat = 5, ntyp = 3
/
ATOMIC_SPECIES
Ge 72.64 Ge.upf
Rb 85.47 Rb.upf
Pd 106.42 Pd.upf
ATOMIC_POSITIONS angstrom
Ge 0.000 0.000 0.000
Rb 2.427 2.427 2.427
Pd 0.000 2.427 0.000
Pd 0.000 0.000 2.427
Pd 2.427 0.000 0.000
CELL_PARAMETERS angstrom
4.853 0.000 0.000
0.000 4.853 0.000
0.000 0.000 4.853
! Spin magnetization = 0.00 μB per formula unit
! Relative energy among the computed polymorphs = 0.0 meV/atom
! ΔH_f (0 K) = 0.0093 eV per atom
! Calculated density = 6.934 g cm⁻³
! Electronic total energy = -21.12 eV/cell
! Calculated volume = 114 Å³ per cell
! SG = No. 221


No. 3
! YPaAs2O8 PBE-GGA relaxed; values from VASP
&SYSTEM
  ibrav = 0, nat = 12, ntyp = 4
/
ATOMIC_SPECIES
Y 88.91 Y.upf
Pa 231.04 Pa.upf
As 74.92 As.upf
O 16.00 O.upf
ATOMIC_POSITIONS angstrom
Y 1.830 0.201 3.491
Pa 0.000 0.000 0.000
As -2.411 -2.218 2.202
As 1.317 -2.894 1.096
O -1.742 -0.704 1.088
O 1.284 -1.311 1.773
O -2.769 1.281 3.168
O -4.180 -1.316 2.401
O 0.671 -4.164 2.064
O -2.327 -4.080 1.490
O -1.396 -2.771 3.828
O -0.348 0.160 4.382
CELL_PARAMETERS angstrom
-2.924 -5.313 -0.194
5.559 -0.476 2.386
-3.215 3.772 3.501
! Spin magnetization = 0.00 μB per formula unit
! Energy relative to the elements, uncorrected = -2.349 eV/atom
! Calculated density = 5.785 g cm⁻³
! Electronic total energy = -93.12 eV/cell
! Calculated volume = 172 Å³ per cell
! SG = No. 119